## NaLaTc3 (PBEsol)

Data for a relaxed NaLaTc3 crystal.

Formation enthalpy at 0 K in meV/atom: 2086
Crystal system: cubic

a = 4.754 Å, b = 4.754 Å, c = 4.754 Å
α = 90.00°, β = 90.00°, γ = 90.00°
Fractional positions:
La 0.000 0.000 0.000
Tc 0.000 0.500 0.000
Tc 0.000 0.000 0.500
Tc 0.500 0.000 0.000
Na 0.500 0.500 0.500

=====

## NaLaTl2 (PBEsol)

Data for a relaxed NaLaTl2 crystal.

Formation enthalpy at 0 K in meV/atom: -329
Crystal system: cubic

a = 5.388 Å, b = 5.388 Å, c = 5.388 Å
α = 60.00°, β = 60.00°, γ = 60.00°
Fractional positions:
Tl 0.250 0.250 0.250
Tl 0.750 0.750 0.750
La 0.500 0.500 0.500
Na 0.000 0.000 0.000

=====

## NaLaY3 (PBEsol)

Data for a relaxed NaLaY3 crystal.

Formation enthalpy at 0 K in meV/atom: 722
Crystal system: cubic

a = 5.671 Å, b = 5.671 Å, c = 5.671 Å
α = 90.00°, β = 90.00°, γ = 90.00°
Fractional positions:
Y 0.000 0.000 0.500
Y 0.000 0.500 0.000
Y 0.500 0.000 0.000
La 0.000 0.000 0.000
Na 0.500 0.500 0.500

=====

## Na3LaY (PBEsol)

Data for a relaxed Na3LaY crystal.

Formation enthalpy at 0 K in meV/atom: 1159
Crystal system: cubic

a = 5.828 Å, b = 5.828 Å, c = 5.828 Å
α = 90.00°, β = 90.00°, γ = 90.00°
Fractional positions:
La 0.000 0.000 0.000
Na 0.000 0.000 0.500
Na 0.500 0.000 0.000
Na 0.000 0.500 0.000
Y 0.500 0.500 0.500

=====

## NaLaY2 (PBEsol)

Data for a relaxed NaLaY2 crystal.

Formation enthalpy at 0 K in meV/atom: 340
Crystal system: cubic

a = 5.661 Å, b = 5.661 Å, c = 5.661 Å
α = 60.00°, β = 60.00°, γ = 60.00°
Fractional positions:
Y 0.250 0.250 0.250
Y 0.750 0.750 0.750
Na 0.000 0.000 0.000
La 0.500 0.500 0.500

=====

## NaLaY3 (PBEsol)

Data for a relaxed NaLaY3 crystal.

Formation enthalpy at 0 K in meV/atom: 701
Crystal system: cubic

a = 5.543 Å, b = 5.543 Å, c = 5.543 Å
α = 90.00°, β = 90.00°, γ = 90.00°
Fractional positions:
La 0.500 0.500 0.500
Y 0.000 0.500 0.000
Y 0.500 0.000 0.000
Y 0.000 0.000 0.500
Na 0.000 0.000 0.000

=====

## Na2LaZn2 (PBEsol)

Data for a relaxed Na2LaZn2 crystal.

Formation enthalpy at 0 K in meV/atom: 38
Crystal system: tetragonal

a = 4.204 Å, b = 4.204 Å, c = 7.656 Å
α = 105.94°, β = 105.94°, γ = 90.00°
Fractional positions:
Na 0.750 0.250 0.500
Na 0.250 0.750 0.500
Zn 0.591 0.591 0.182
Zn 0.409 0.409 0.818
La 0.000 0.000 0.000

=====

## LaNb2NiRh (PBEsol)

Data for a relaxed LaNb2NiRh crystal.

Formation enthalpy at 0 K in meV/atom: 2034
Crystal system: tetragonal

a = 4.636 Å, b = 4.847 Å, c = 4.847 Å
α = 90.00°, β = 90.00°, γ = 90.00°
Fractional positions:
Ni 0.500 0.500 0.500
Nb 0.000 0.500 0.000
Nb 0.000 0.000 0.500
La 0.000 0.000 0.000
Rh 0.500 0.000 0.000

=====

## La3NbO7 (PBEsol)

Data for a relaxed La3NbO7 crystal.

ΔE_f (raw) in eV per atom: -3.287
Crystal system: orthorhombic

a = 6.701 Å, b = 6.701 Å, c = 7.765 Å
α = 90.00°, β = 90.00°, γ = 112.03°
Fractional positions:
La 0.075 0.526 0.750
La 0.474 0.925 0.250
La 0.526 0.075 0.750
La 0.925 0.474 0.250
La 0.000 0.000 0.500
La 0.000 0.000 0.000
O 0.563 0.815 0.535
O 0.185 0.437 0.465
O 0.432 0.432 0.750
O 0.896 0.155 0.750
O 0.185 0.437 0.035
O 0.568 0.568 0.250
O 0.845 0.104 0.250
O 0.104 0.845 0.250
O 0.437 0.185 0.465
O 0.815 0.563 0.965
O 0.563 0.815 0.965
O 0.437 0.185 0.035
O 0.815 0.563 0.535
O 0.155 0.896 0.750
Nb 0.500 0.500 0.500
Nb 0.500 0.500 0.000

=====

## LaNb3O (PBEsol)

Data for a relaxed LaNb3O crystal.

ΔE_f (raw) in eV per atom: 2.365
Crystal system: cubic

a = 4.818 Å, b = 4.818 Å, c = 4.818 Å
α = 90.00°, β = 90.00°, γ = 90.00°
Fractional positions:
O 0.500 0.500 0.500
Nb 0.000 0.500 0.000
Nb 0.500 0.000 0.000
Nb 0.000 0.000 0.500
La 0.000 0.000 0.000

=====

## La3NbO7 (PBEsol)

Data for a relaxed La3NbO7 crystal.

ΔE_f (raw) in eV per atom: -3.290
Crystal system: orthorhombic

a = 7.623 Å, b = 7.731 Å, c = 11.091 Å
α = 90.00°, β = 90.00°, γ = 90.00°
Fractional positions:
O 0.451 0.535 0.128
O 0.225 0.246 0.619
O 0.549 0.465 0.628
O 0.324 0.247 0.250
O 0.725 0.254 0.381
O 0.589 0.041 0.884
O 0.911 0.541 0.884
O 0.775 0.754 0.119
O 0.451 0.535 0.372
O 0.275 0.746 0.881
O 0.824 0.253 0.750
O 0.176 0.747 0.250
O 0.549 0.465 0.872
O 0.951 0.965 0.872
O 0.089 0.459 0.384
O 0.911 0.541 0.616
O 0.775 0.754 0.381
O 0.049 0.035 0.372
O 0.411 0.959 0.116
O 0.275 0.746 0.619
O 0.725 0.254 0.119
O 0.089 0.459 0.116
O 0.589 0.041 0.616
O 0.411 0.959 0.384
O 0.049 0.035 0.128
O 0.676 0.753 0.750
O 0.951 0.965 0.628
O 0.225 0.246 0.881
La 0.451 0.251 0.024
La 0.280 0.492 0.750
La 0.220 0.992 0.750
La 0.549 0.749 0.524
La 0.451 0.251 0.476
La 0.780 0.008 0.250
La 0.049 0.751 0.024
La 0.951 0.249 0.524
La 0.049 0.751 0.476
La 0.720 0.508 0.250
La 0.951 0.249 0.976
La 0.549 0.749 0.976
Nb 0.751 0.494 0.750
Nb 0.249 0.506 0.250
Nb 0.749 0.994 0.750
Nb 0.251 0.006 0.250

=====

## LaNb3O9 (PBEsol)

Data for a relaxed LaNb3O9 crystal.

ΔE_f (raw) in eV per atom: -2.765
Crystal system: monoclinic

a = 5.566 Å, b = 8.830 Å, c = 8.884 Å
α = 66.89°, β = 71.74°, γ = 71.63°
Fractional positions:
O 0.080 0.569 0.772
O 0.579 0.569 0.772
O 0.428 0.417 0.226
O 0.752 0.742 0.229
O 0.582 0.093 0.227
O 0.910 0.893 0.770
O 0.427 0.893 0.770
O 0.731 0.243 0.771
O 0.339 0.828 0.494
O 0.277 0.742 0.229
O 0.180 0.638 0.001
O 0.827 0.349 0.998
O 0.505 0.991 0.999
O 0.669 0.158 0.503
O 0.929 0.417 0.226
O 0.098 0.093 0.227
O 0.255 0.243 0.771
O 0.004 0.492 0.499
Nb 0.590 0.070 0.750
Nb 0.748 0.239 0.265
Nb 0.260 0.749 0.731
Nb 0.930 0.400 0.741
Nb 0.417 0.919 0.247
Nb 0.077 0.588 0.258
La 0.333 0.335 0.999
La 0.674 0.654 0.998

=====

Here are the calculated ρ numbers, same order: 7.04 8.57 3.90 2.49 4.40 4.18 4.20 7.42 6.39 6.44 6.32 5.01 (g/cm³).